No. 1
Compound: ZrScAl2O
Source: Alexandria via LeMat-Bulk
Functional: PBE
Structure: optimized geometry

```
ZrScAl2O
1.0
4.349 0.000 0.000
0.000 4.411 0.000
0.000 0.000 4.349
Al Zr O Sc
2 1 1 1
direct
0.000 0.000 0.500
0.500 0.000 0.000
0.000 0.500 0.000
0.000 0.000 0.000
0.500 0.500 0.500
```

Properties
The value obtained for the volume is 83.4 Å³/cell. As for the symmetry: No. 123. Its total energy is -6.336 eV/atom. The calculation puts the density of states at the Fermi level at 0.7548 states/eV per atom. As for the uncorrected formation energy: -0.87 eV per atom.

No. 2
Compound: AlSeO2
Source: Alexandria via LeMat-Bulk
Functional: PBE
Structure: optimized geometry

```
AlSeO2
1.0
0.531 6.761 1.585
1.410 5.467 4.077
3.311 5.837 1.862
Se O Al
1 2 1
direct
0.500 0.500 0.500
0.087 0.087 0.087
0.913 0.913 0.913
0.000 0.000 0.000
```

Properties
The value obtained for the volume is 50.6 Å³/cell. As for the symmetry: No. 166. Its total energy is -4.633 eV/atom. The calculation puts the density of states at the Fermi level at 0.2716 states/eV per atom. As for the uncorrected formation energy: -0.35 eV per atom. The calculation puts the energy above the most stable polymorph in this dataset at 1.397 eV/atom.

No. 3
Compound: AlSe2O
Source: Alexandria via LeMat-Bulk
Functional: PBE
Structure: optimized geometry

```
AlSe2O
1.0
-7.245 4.861 1.674
-5.651 5.519 4.066
-5.230 7.010 1.557
Al Se O
1 2 1
direct
0.000 0.000 0.000
0.101 0.101 0.101
0.899 0.899 0.899
0.500 0.500 0.500
```

Properties
The value obtained for the volume is 65.6 Å³/cell. As for the symmetry: No. 166. Its total energy is -3.477 eV/atom. The calculation puts the density of states at the Fermi level at 0.7194 states/eV per atom. As for the uncorrected formation energy: 0.44 eV per atom. The calculation puts the energy above the most stable polymorph in this dataset at 0.705 eV/atom.

No. 4
Compound: AlSe2O
Source: Alexandria via LeMat-Bulk
Functional: PBE
Structure: optimized geometry

```
AlSe2O
1.0
-4.597 1.999 -1.423
-1.951 -4.810 -0.454
-5.025 -1.250 4.939
O Al Se
2 2 4
direct
0.250 0.750 0.500
0.500 0.500 0.000
0.000 0.000 0.000
0.750 0.250 0.500
0.165 0.625 0.250
0.585 0.125 0.250
0.875 0.835 0.750
0.375 0.415 0.750
```

Properties
The value obtained for the volume is 166.5 Å³/cell. As for the symmetry: No. 122. Its total energy is -3.951 eV/atom. The calculation puts the density of states at the Fermi level at 0.2672 states/eV per atom. As for the uncorrected formation energy: -0.03 eV per atom. The calculation puts the energy above the most stable polymorph in this dataset at 0.231 eV/atom.

No. 5
Compound: Al3SeO6
Source: Alexandria via LeMat-Bulk
Functional: PBE
Structure: optimized geometry

```
Al3SeO6
1.0
-2.402 -0.344 -1.619
5.069 -3.241 -6.830
-4.644 -6.256 8.217
O Al Se
12 6 2
direct
0.250 0.302 0.207
0.750 0.627 0.447
0.250 0.373 0.553
0.750 0.031 0.422
0.250 0.978 0.083
0.250 0.969 0.578
0.250 0.703 0.301
0.750 0.698 0.793
0.250 0.638 0.010
0.750 0.022 0.917
0.750 0.362 0.990
0.750 0.297 0.699
0.250 0.531 0.341
0.750 0.128 0.115
0.250 0.146 0.535
0.750 0.854 0.465
0.250 0.872 0.885
0.750 0.469 0.659
0.750 0.698 0.138
0.250 0.302 0.862
```

Properties
The value obtained for the volume is 245.7 Å³/cell. As for the symmetry: No. 11. Its total energy is -6.525 eV/atom. The calculation puts the density of states at the Fermi level at 0.0300 states/eV per atom. As for the uncorrected formation energy: -2.08 eV per atom.

No. 6
Compound: AlSe3O9
Source: Alexandria via LeMat-Bulk
Functional: PBE
Structure: optimized geometry

```
AlSe3O9
1.0
7.485 0.000 3.150
3.247 7.115 2.752
0.940 0.573 8.235
O Se Al
18 6 2
direct
0.625 0.065 0.875
0.434 0.565 0.375
0.985 0.615 0.752
0.354 0.877 0.752
0.134 0.660 0.956
0.539 0.801 0.417
0.062 0.559 0.427
0.747 0.845 0.558
0.648 0.115 0.252
0.576 0.416 0.647
0.243 0.301 0.917
0.464 0.194 0.589
0.018 0.377 0.252
0.361 0.916 0.147
0.850 0.345 0.058
0.251 0.160 0.456
0.952 0.059 0.927
0.753 0.694 0.089
0.890 0.107 0.153
0.203 0.376 0.295
0.476 0.245 0.755
0.524 0.745 0.255
0.126 0.876 0.795
0.850 0.607 0.653
0.996 0.497 0.003
0.503 0.997 0.503
```

Properties
The value obtained for the volume is 411.5 Å³/cell. As for the symmetry: No. 9. Its total energy is -5.496 eV/atom. The calculation puts the density of states at the Fermi level at 0.6085 states/eV per atom. As for the uncorrected formation energy: -0.97 eV per atom.

No. 7
Compound: AlSeO
Source: Alexandria via LeMat-Bulk
Functional: PBE
Structure: optimized geometry

```
AlSeO
1.0
-0.252 -0.814 2.790
-2.363 -9.012 -2.844
3.587 -0.955 0.045
Se Al O
2 2 2
direct
0.500 0.699 0.000
0.000 0.301 0.500
0.500 0.086 0.500
0.000 0.914 0.000
0.000 0.958 0.500
0.500 0.042 0.000
```

Properties
The value obtained for the volume is 105.5 Å³/cell. As for the symmetry: No. 59. Its total energy is -5.802 eV/atom. The calculation puts the density of states at the Fermi level at 0.2082 states/eV per atom. As for the uncorrected formation energy: -1.74 eV per atom. The calculation puts the energy above the most stable polymorph in this dataset at 0.021 eV/atom.

No. 8
Compound: AlSeO
Source: Alexandria via LeMat-Bulk
Functional: PBE
Structure: optimized geometry

```
AlSeO
1.0
-3.192 3.236 2.737
-1.774 -2.362 0.723
3.343 -1.054 4.760
Se O Al
2 2 2
direct
0.260 0.000 0.882
0.764 0.000 0.915
0.037 0.500 0.391
0.534 0.000 0.370
0.709 0.500 0.253
0.213 0.000 0.476
```

Properties
The value obtained for the volume is 95.3 Å³/cell. As for the symmetry: No. 6. Its total energy is -5.735 eV/atom. The calculation puts the density of states at the Fermi level at 0.1966 states/eV per atom. As for the uncorrected formation energy: -1.67 eV per atom. The calculation puts the energy above the most stable polymorph in this dataset at 0.088 eV/atom.

No. 9
Compound: Al2Se3O12
Source: Alexandria via LeMat-Bulk
Functional: PBE
Structure: optimized geometry

```
Al2Se3O12
1.0
8.703 0.000 0.000
0.000 8.719 0.000
0.000 0.000 11.959
O Al Se
48 8 12
direct
0.098 0.390 0.848
0.827 0.992 0.232
0.872 0.388 0.551
0.370 0.301 0.312
0.130 0.801 0.188
0.345 0.085 0.480
0.630 0.699 0.688
0.412 0.813 0.105
0.327 0.508 0.732
0.402 0.610 0.348
0.155 0.915 0.980
0.872 0.112 0.449
0.130 0.699 0.812
0.673 0.008 0.732
0.845 0.085 0.020
0.588 0.187 0.895
0.155 0.585 0.020
0.588 0.313 0.105
0.845 0.415 0.980
0.912 0.813 0.395
0.370 0.199 0.688
0.088 0.313 0.395
0.402 0.890 0.652
0.098 0.110 0.152
0.173 0.492 0.232
0.128 0.888 0.551
0.673 0.492 0.268
0.128 0.612 0.449
0.827 0.508 0.768
0.902 0.610 0.152
0.173 0.008 0.768
0.630 0.801 0.312
0.902 0.890 0.848
0.412 0.687 0.895
0.598 0.110 0.348
0.628 0.612 0.051
0.655 0.585 0.480
0.655 0.915 0.520
0.598 0.390 0.652
0.912 0.687 0.605
0.345 0.415 0.520
0.628 0.888 0.949
0.372 0.388 0.949
0.870 0.301 0.188
0.372 0.112 0.051
0.088 0.187 0.605
0.327 0.992 0.268
0.870 0.199 0.812
0.249 0.960 0.120
0.751 0.460 0.120
0.751 0.040 0.880
0.251 0.460 0.380
0.251 0.040 0.620
0.749 0.960 0.380
0.749 0.540 0.620
0.249 0.540 0.880
0.093 0.621 0.148
0.593 0.621 0.352
0.521 0.750 0.000
0.407 0.379 0.648
0.093 0.879 0.852
0.593 0.879 0.648
0.021 0.750 0.500
0.407 0.121 0.352
0.979 0.250 0.500
0.907 0.121 0.148
0.907 0.379 0.852
0.479 0.250 0.000
```

Properties
The value obtained for the volume is 907.4 Å³/cell. As for the symmetry: No. 60. Its total energy is -5.797 eV/atom. The calculation puts the density of states at the Fermi level at 0.0000 states/eV per atom. As for the uncorrected formation energy: -1.24 eV per atom. The calculation puts the energy above the most stable polymorph in this dataset at 0.024 eV/atom.

No. 10
Compound: AlSeO
Source: Alexandria via LeMat-Bulk
Functional: PBE
Structure: optimized geometry

```
AlSeO
1.0
-2.300 0.290 2.003
1.581 -3.941 4.730
3.869 1.833 6.544
O Al Se
2 2 2
direct
0.773 0.816 0.636
0.227 0.184 0.364
0.337 0.793 0.533
0.663 0.207 0.467
0.491 0.257 0.762
0.509 0.743 0.238
```

Properties
The value obtained for the volume is 117.9 Å³/cell. As for the symmetry: No. 2. Its total energy is -5.755 eV/atom. The calculation puts the density of states at the Fermi level at 0.2920 states/eV per atom. As for the uncorrected formation energy: -1.69 eV per atom. The calculation puts the energy above the most stable polymorph in this dataset at 0.067 eV/atom.

What did the first record say?
Compound: ZrScAl2O
Source: Alexandria via LeMat-Bulk
Functional: PBE
Structure: optimized geometry

```
ZrScAl2O
1.0
4.349 0.000 0.000
0.000 4.411 0.000
0.000 0.000 4.349
Al Zr O Sc
2 1 1 1
direct
0.000 0.000 0.500
0.500 0.000 0.000
0.000 0.500 0.000
0.000 0.000 0.000
0.500 0.500 0.500
```

Properties
The value obtained for the volume is 83.4 Å³/cell. As for the symmetry: No. 123. Its total energy is -6.336 eV/atom. The calculation puts the density of states at the Fermi level at 0.7548 states/eV per atom. As for the uncorrected formation energy: -0.87 eV per atom.

Please write out number 9 again, unchanged.
Compound: Al2Se3O12
Source: Alexandria via LeMat-Bulk
Functional: PBE
Structure: optimized geometry

```
Al2Se3O12
1.0
8.703 0.000 0.000
0.000 8.719 0.000
0.000 0.000 11.959
O Al Se
48 8 12
direct
0.098 0.390 0.848
0.827 0.992 0.232
0.872 0.388 0.551
0.370 0.301 0.312
0.130 0.801 0.188
0.345 0.085 0.480
0.630 0.699 0.688
0.412 0.813 0.105
0.327 0.508 0.732
0.402 0.610 0.348
0.155 0.915 0.980
0.872 0.112 0.449
0.130 0.699 0.812
0.673 0.008 0.732
0.845 0.085 0.020
0.588 0.187 0.895
0.155 0.585 0.020
0.588 0.313 0.105
0.845 0.415 0.980
0.912 0.813 0.395
0.370 0.199 0.688
0.088 0.313 0.395
0.402 0.890 0.652
0.098 0.110 0.152
0.173 0.492 0.232
0.128 0.888 0.551
0.673 0.492 0.268
0.128 0.612 0.449
0.827 0.508 0.768
0.902 0.610 0.152
0.173 0.008 0.768
0.630 0.801 0.312
0.902 0.890 0.848
0.412 0.687 0.895
0.598 0.110 0.348
0.628 0.612 0.051
0.655 0.585 0.480
0.655 0.915 0.520
0.598 0.390 0.652
0.912 0.687 0.605
0.345 0.415 0.520
0.628 0.888 0.949
0.372 0.388 0.949
0.870 0.301 0.188
0.372 0.112 0.051
0.088 0.187 0.605
0.327 0.992 0.268
0.870 0.199 0.812
0.249 0.960 0.120
0.751 0.460 0.120
0.751 0.040 0.880
0.251 0.460 0.380
0.251 0.040 0.620
0.749 0.960 0.380
0.749 0.540 0.620
0.249 0.540 0.880
0.093 0.621 0.148
0.593 0.621 0.352
0.521 0.750 0.000
0.407 0.379 0.648
0.093 0.879 0.852
0.593 0.879 0.648
0.021 0.750 0.500
0.407 0.121 0.352
0.979 0.250 0.500
0.907 0.121 0.148
0.907 0.379 0.852
0.479 0.250 0.000
```

Properties
The value obtained for the volume is 907.4 Å³/cell. As for the symmetry: No. 60. Its total energy is -5.797 eV/atom. The calculation puts the density of states at the Fermi level at 0.0000 states/eV per atom. As for the uncorrected formation energy: -1.24 eV per atom. The calculation puts the energy above the most stable polymorph in this dataset at 0.024 eV/atom.

Copy entry 9 word for word.
Compound: Al2Se3O12
Source: Alexandria via LeMat-Bulk
Functional: PBE
Structure: optimized geometry

```
Al2Se3O12
1.0
8.703 0.000 0.000
0.000 8.719 0.000
0.000 0.000 11.959
O Al Se
48 8 12
direct
0.098 0.390 0.848
0.827 0.992 0.232
0.872 0.388 0.551
0.370 0.301 0.312
0.130 0.801 0.188
0.345 0.085 0.480
0.630 0.699 0.688
0.412 0.813 0.105
0.327 0.508 0.732
0.402 0.610 0.348
0.155 0.915 0.980
0.872 0.112 0.449
0.130 0.699 0.812
0.673 0.008 0.732
0.845 0.085 0.020
0.588 0.187 0.895
0.155 0.585 0.020
0.588 0.313 0.105
0.845 0.415 0.980
0.912 0.813 0.395
0.370 0.199 0.688
0.088 0.313 0.395
0.402 0.890 0.652
0.098 0.110 0.152
0.173 0.492 0.232
0.128 0.888 0.551
0.673 0.492 0.268
0.128 0.612 0.449
0.827 0.508 0.768
0.902 0.610 0.152
0.173 0.008 0.768
0.630 0.801 0.312
0.902 0.890 0.848
0.412 0.687 0.895
0.598 0.110 0.348
0.628 0.612 0.051
0.655 0.585 0.480
0.655 0.915 0.520
0.598 0.390 0.652
0.912 0.687 0.605
0.345 0.415 0.520
0.628 0.888 0.949
0.372 0.388 0.949
0.870 0.301 0.188
0.372 0.112 0.051
0.088 0.187 0.605
0.327 0.992 0.268
0.870 0.199 0.812
0.249 0.960 0.120
0.751 0.460 0.120
0.751 0.040 0.880
0.251 0.460 0.380
0.251 0.040 0.620
0.749 0.960 0.380
0.749 0.540 0.620
0.249 0.540 0.880
0.093 0.621 0.148
0.593 0.621 0.352
0.521 0.750 0.000
0.407 0.379 0.648
0.093 0.879 0.852
0.593 0.879 0.648
0.021 0.750 0.500
0.407 0.121 0.352
0.979 0.250 0.500
0.907 0.121 0.148
0.907 0.379 0.852
0.479 0.250 0.000
```

Properties
The value obtained for the volume is 907.4 Å³/cell. As for the symmetry: No. 60. Its total energy is -5.797 eV/atom. The calculation puts the density of states at the Fermi level at 0.0000 states/eV per atom. As for the uncorrected formation energy: -1.24 eV per atom. The calculation puts the energy above the most stable polymorph in this dataset at 0.024 eV/atom.